Entry 1:
CsTl4In3 | PBE-GGA | optimized geometry

Values from the calculation:
space group	P4/mmm (123)
energy of formation	-0.030	eV/atom

Lattice parameters (Å, degrees): 5.4228 5.4228 9.4200 90.00 90.00 90.00
Atoms (fractional coordinates):
Cs: 0.0000 0.0000 0.0000
Tl: 0.0000 0.5000 0.3209
Tl: 0.0000 0.5000 0.6791
Tl: 0.5000 0.0000 0.3209
Tl: 0.5000 0.0000 0.6791
In: 0.0000 0.0000 0.5000
In: 0.5000 0.5000 0.1575
In: 0.5000 0.5000 0.8425

Entry 2:
CaP2Pb | PBE-GGA | optimized geometry

Values from the calculation:
space group	P2/m (10)
energy of formation	-0.423	eV/atom

Lattice parameters (Å, degrees): 3.6818 4.1410 6.5932 90.00 90.28 90.00
Atoms (fractional coordinates):
Ca: 0.0000 0.0000 0.0000
P: 0.4984 0.5000 0.8339
P: 0.5016 0.5000 0.1661
Pb: 0.5000 0.0000 0.5000

Entry 3:
Pb2Au3 | PBE-GGA | optimized geometry

Values from the calculation:
space group	R-3m (166)
energy of formation	-0.023	eV/atom
energy above the lowest structure with this stoichiometry	0.046	eV per atom

Lattice parameters (Å, degrees): 9.0138 9.0138 9.0138 26.28 26.28 26.28
Atoms (fractional coordinates):
Pb: 0.0952 0.0952 0.0952
Pb: 0.9048 0.9048 0.9048
Au: 0.3047 0.3047 0.3047
Au: 0.5000 0.5000 0.5000
Au: 0.6953 0.6953 0.6953

Entry 4:
Cs3H2 | PBE-GGA | optimized geometry

Values from the calculation:
space group	Cc (9)
energy above the lowest structure with this stoichiometry	0.000	eV per atom

Lattice parameters (Å, degrees): 8.9453 8.9453 8.4426 97.97 97.97 121.00
Atoms (fractional coordinates):
Cs: 0.0684 0.9316 0.5000
Cs: 0.1821 0.7067 0.9915
Cs: 0.3405 0.5596 0.4630
Cs: 0.5596 0.3405 0.9630
Cs: 0.7067 0.1821 0.4915
Cs: 0.9316 0.0684 0.0000
H: 0.0060 0.1963 0.3654
H: 0.1963 0.0060 0.8654
H: 0.3199 0.8600 0.3607
H: 0.8600 0.3199 0.8607

Number 1: E_tot -2.35 eV/atom, density of states at the Fermi level 3.813 states/eV/cell. Number 2: E_tot -4.56 eV/atom, density of states at the Fermi level 1.257 states/eV/cell. Number 3: E_tot -3.47 eV/atom, density of states at the Fermi level 1.166 states/eV/cell. Number 4: E_tot -1.90 eV/atom, density of states at the Fermi level 3.471 states/eV/cell.